# MgH6CO6

MgH6CO6 at its PBEsol-relaxed geometry (SCAN, the Alexandria database).

Results
N(E_F) ... 0.00 states/eV/atom
Crystal system ... monoclinic
Symmetry ... P2_1/c
Electronic total energy ... -374.7 eV per cell

Lattice parameters (Å, degrees): 5.393 7.570 11.667 92.02 90.00 90.00
Positions (direct):
H  0.086  0.933  0.215
H  0.367  0.403  0.580
H  0.414  0.433  0.715
H  0.336  0.098  0.600
H  0.376  0.283  0.912
H  0.915  0.594  0.170
H  0.664  0.902  0.400
H  0.834  0.315  0.714
Mg  0.920  0.739  0.853
O  0.099  0.772  0.550
O  0.661  0.698  0.172
O  0.311  0.231  0.490
C  0.873  0.767  0.583
H  0.624  0.717  0.088
O  0.839  0.198  0.672
O  0.339  0.302  0.828
O  0.077  0.992  0.140
O  0.586  0.964  0.334
H  0.085  0.406  0.830
O  0.086  0.536  0.166
O  0.691  0.262  0.190
O  0.689  0.769  0.510
H  0.867  0.097  0.920
H  0.633  0.597  0.420
O  0.901  0.228  0.450
O  0.401  0.272  0.050
O  0.189  0.731  0.990
O  0.309  0.738  0.810
C  0.627  0.267  0.083
H  0.585  0.094  0.670
O  0.423  0.492  0.640
H  0.164  0.598  0.100
O  0.811  0.269  0.010
H  0.876  0.217  0.588
H  0.415  0.906  0.330
C  0.127  0.233  0.417
H  0.586  0.567  0.285
O  0.191  0.238  0.310
H  0.334  0.185  0.786
O  0.577  0.508  0.360
O  0.923  0.008  0.860
H  0.666  0.815  0.214
O  0.914  0.464  0.834
H  0.836  0.402  0.900
Mg  0.580  0.239  0.353
O  0.414  0.036  0.666
H  0.166  0.685  0.286
C  0.373  0.733  0.917
Mg  0.080  0.261  0.147
Mg  0.420  0.761  0.647
H  0.914  0.067  0.785
O  0.599  0.728  0.950
O  0.161  0.802  0.328
O  0.809  0.762  0.690
H  0.124  0.783  0.412
H  0.133  0.903  0.080


# Rb2MgH8C2O10

Rb2MgH8C2O10 at its PBEsol-relaxed geometry (SCAN, the Alexandria database).

Results
N(E_F) ... 0.00 states/eV/atom
Crystal system ... monoclinic
Symmetry ... P2_1/c
Electronic total energy ... -384.9 eV per cell

Lattice parameters (Å, degrees): 6.400 7.113 11.066 80.51 90.00 90.00
Positions (direct):
Rb  0.853  0.084  0.675
O  0.202  0.793  0.090
C  0.349  0.928  0.819
H  0.386  0.804  0.623
O  0.171  0.210  0.072
O  0.076  0.286  0.397
C  0.651  0.072  0.181
H  0.795  0.722  0.484
H  0.154  0.662  0.132
C  0.151  0.428  0.319
Rb  0.147  0.916  0.325
Mg  0.000  0.000  0.000
O  0.798  0.207  0.910
O  0.697  0.471  0.650
Rb  0.647  0.584  0.175
O  0.329  0.710  0.572
H  0.705  0.222  0.984
O  0.071  0.467  0.210
O  0.429  0.967  0.710
H  0.673  0.796  0.910
O  0.803  0.971  0.150
O  0.702  0.707  0.410
O  0.424  0.786  0.897
O  0.929  0.533  0.790
O  0.924  0.714  0.603
H  0.614  0.196  0.377
H  0.114  0.304  0.123
C  0.849  0.572  0.681
H  0.846  0.338  0.868
H  0.886  0.696  0.877
H  0.346  0.162  0.632
O  0.576  0.214  0.103
H  0.295  0.778  0.016
Mg  0.500  0.500  0.500
O  0.829  0.790  0.928
H  0.827  0.296  0.410
O  0.197  0.029  0.850
H  0.173  0.704  0.590
O  0.298  0.293  0.590
O  0.303  0.529  0.350
H  0.205  0.278  0.516
H  0.654  0.838  0.368
O  0.571  0.033  0.290
H  0.327  0.204  0.090
Rb  0.353  0.416  0.825
O  0.671  0.290  0.428


# MgH30C2S2O18

MgH30C2S2O18 at its PBEsol-relaxed geometry (SCAN, the Alexandria database).

Results
N(E_F) ... 0.00 states/eV/atom
Crystal system ... trigonal
Symmetry ... R-3
Electronic total energy ... -317.7 eV per cell

Lattice parameters (Å, degrees): 8.703 8.703 8.703 62.97 62.97 62.97
Positions (direct):
O  0.569  0.878  0.749
H  0.364  0.876  0.926
H  0.124  0.074  0.636
H  0.302  0.776  0.422
H  0.224  0.578  0.698
O  0.708  0.621  0.175
H  0.134  0.290  0.866
H  0.719  0.613  0.060
H  0.281  0.387  0.940
H  0.613  0.060  0.719
O  0.254  0.880  0.033
H  0.268  0.497  0.402
H  0.876  0.926  0.364
H  0.866  0.710  0.134
O  0.251  0.431  0.122
H  0.134  0.866  0.710
H  0.422  0.302  0.776
O  0.122  0.251  0.431
O  0.175  0.708  0.621
H  0.060  0.719  0.613
H  0.497  0.402  0.268
O  0.033  0.254  0.880
S  0.712  0.712  0.712
H  0.387  0.940  0.281
H  0.866  0.134  0.290
O  0.431  0.122  0.251
H  0.926  0.364  0.876
O  0.292  0.379  0.825
H  0.710  0.134  0.866
H  0.776  0.422  0.302
O  0.880  0.033  0.254
H  0.074  0.636  0.124
H  0.598  0.732  0.503
O  0.621  0.175  0.708
O  0.120  0.967  0.746
O  0.749  0.569  0.878
H  0.636  0.124  0.074
Mg  0.000  0.000  0.000
O  0.878  0.749  0.569
H  0.698  0.224  0.578
H  0.402  0.268  0.497
O  0.379  0.825  0.292
O  0.746  0.120  0.967
H  0.290  0.866  0.134
C  0.627  0.627  0.627
H  0.503  0.598  0.732
C  0.373  0.373  0.373
H  0.578  0.698  0.224
H  0.940  0.281  0.387
O  0.967  0.746  0.120
O  0.825  0.292  0.379
S  0.288  0.288  0.288
H  0.732  0.503  0.598


# MnSn4H24C8Se10N2

MnSn4H24C8Se10N2 at its PBEsol-relaxed geometry (SCAN, the Alexandria database).

Results
Crystal system ... tetragonal
Symmetry ... I-4
Electronic total energy ... -557.7 eV per cell

Lattice parameters (Å, degrees): 9.832 10.387 9.832 61.75 90.00 118.25
Last column: magnetic moment on the atom in μB.
Positions (direct):
Se  0.053  0.357  0.133  0.01
Se  0.304  0.357  0.510  0.01
Se  0.613  0.999  0.218  0.01
C  0.797  0.389  0.737  0.00
C  0.875  0.611  0.797  0.00
H  0.707  0.697  0.601  0.00
H  0.220  0.027  0.042  0.00
Se  0.783  0.001  0.613  0.01
N  0.000  0.000  0.000  0.00
Se  0.133  0.643  0.304  0.01
C  0.592  0.389  0.875  0.00
H  0.808  0.310  0.855  0.00
H  0.835  0.690  0.808  0.00
H  0.042  0.973  0.808  0.00
H  0.847  0.804  0.959  0.00
Se  0.305  0.609  0.695  0.00
H  0.187  0.190  0.029  0.00
H  0.702  0.303  0.707  0.00
H  0.502  0.310  0.835  0.00
N  0.750  0.500  0.750  0.00
H  0.781  0.810  0.187  0.00
Mn  0.250  0.500  0.250  4.34
H  0.957  0.804  0.236  0.00
H  0.003  0.190  0.781  0.00
Se  0.695  0.391  0.305  0.00
C  0.910  0.888  0.174  0.00
H  0.236  0.196  0.847  0.00
H  0.990  0.697  0.702  0.00
H  0.855  0.690  0.502  0.00
H  0.930  0.973  0.220  0.00
H  0.887  0.528  0.912  0.00
Se  0.218  0.001  0.386  0.01
H  0.959  0.196  0.957  0.00
H  0.642  0.528  0.559  0.00
H  0.029  0.810  0.003  0.00
Se  0.386  0.999  0.783  0.01
H  0.601  0.303  0.990  0.00
Se  0.510  0.643  0.053  0.01
H  0.559  0.472  0.887  0.00
C  0.978  0.888  0.938  0.00
H  0.912  0.472  0.642  0.00
C  0.737  0.611  0.592  0.00
Sn  0.404  0.186  0.487  0.02
C  0.938  0.112  0.910  0.00
Sn  0.782  0.186  0.327  0.02
H  0.808  0.027  0.930  0.00
Sn  0.327  0.814  0.404  0.02
C  0.174  0.112  0.978  0.00
Sn  0.487  0.814  0.782  0.02


# Mn2PH2CO7

Mn2PH2CO7 at its PBEsol-relaxed geometry (SCAN, the Alexandria database).

Results
Crystal system ... monoclinic
Symmetry ... P2_1/c
Electronic total energy ... -526.3 eV per cell

Lattice parameters (Å, degrees): 6.479 10.016 10.115 116.17 90.00 90.00
Last column: magnetic moment on the atom in μB.
Positions (direct):
O  0.670  0.484  0.077  0.06
H  0.384  0.721  0.378  0.00
P  0.651  0.894  0.103  0.03
Mn  0.978  0.732  0.236  4.58
O  0.906  0.259  0.955  0.06
O  0.298  0.165  0.783  0.03
Mn  0.147  0.975  0.118  4.59
O  0.798  0.335  0.217  0.03
C  0.547  0.459  0.542  0.01
O  0.534  0.996  0.840  0.05
O  0.202  0.665  0.783  0.03
O  0.138  0.214  0.278  0.04
O  0.362  0.714  0.278  0.04
O  0.933  0.819  0.474  0.03
Mn  0.853  0.025  0.882  4.59
H  0.884  0.779  0.622  0.00
O  0.594  0.759  0.955  0.06
O  0.170  0.016  0.923  0.06
O  0.433  0.681  0.526  0.03
H  0.116  0.221  0.378  0.00
H  0.616  0.279  0.622  0.00
O  0.830  0.984  0.077  0.06
C  0.047  0.041  0.458  0.01
H  0.982  0.732  0.742  0.00
Mn  0.522  0.232  0.236  4.58
O  0.466  0.004  0.160  0.05
O  0.034  0.504  0.160  0.05
Mn  0.022  0.268  0.764  4.58
O  0.330  0.516  0.923  0.06
O  0.094  0.741  0.045  0.06
O  0.406  0.241  0.045  0.06
P  0.849  0.394  0.103  0.03
O  0.067  0.181  0.526  0.03
H  0.482  0.768  0.258  0.00
C  0.953  0.959  0.542  0.01
H  0.018  0.268  0.258  0.00
O  0.097  0.960  0.326  0.04
Mn  0.647  0.525  0.882  4.59
O  0.702  0.835  0.217  0.03
O  0.403  0.460  0.326  0.04
P  0.349  0.106  0.897  0.03
Mn  0.478  0.768  0.764  4.58
O  0.903  0.040  0.674  0.04
H  0.518  0.232  0.742  0.00
O  0.638  0.286  0.722  0.04
O  0.567  0.319  0.474  0.03
O  0.966  0.496  0.840  0.05
Mn  0.353  0.475  0.118  4.59
O  0.597  0.540  0.674  0.04
P  0.151  0.606  0.897  0.03
C  0.453  0.541  0.458  0.01
O  0.862  0.786  0.722  0.04


# MoH12C2N6O4

MoH12C2N6O4 at its PBEsol-relaxed geometry (SCAN, the Alexandria database).

Results
N(E_F) ... 0.00 states/eV/atom
Crystal system ... monoclinic
Symmetry ... P2_1/m
Electronic total energy ... -390.2 eV per cell

Lattice parameters (Å, degrees): 6.478 6.967 10.547 90.00 98.13 90.00
Positions (direct):
H  0.763  0.044  0.489
N  0.757  0.916  0.439
H  0.324  0.092  0.651
H  0.152  0.571  0.871
H  0.608  0.957  0.129
H  0.299  0.125  0.125
O  0.107  0.539  0.182
H  0.237  0.956  0.511
O  0.495  0.750  0.207
Mo  0.235  0.750  0.244
O  0.893  0.039  0.818
N  0.243  0.084  0.561
H  0.608  0.543  0.129
N  0.312  0.582  0.884
C  0.795  0.750  0.502
N  0.878  0.750  0.625
N  0.757  0.584  0.439
N  0.381  0.250  0.115
O  0.505  0.250  0.793
O  0.107  0.961  0.182
N  0.688  0.418  0.116
H  0.701  0.625  0.875
H  0.392  0.457  0.871
C  0.205  0.250  0.498
H  0.676  0.908  0.349
O  0.754  0.250  0.589
H  0.109  0.125  0.322
Mo  0.765  0.250  0.756
N  0.312  0.918  0.884
H  0.299  0.375  0.125
H  0.763  0.456  0.489
H  0.392  0.043  0.871
N  0.122  0.250  0.375
N  0.688  0.082  0.116
H  0.237  0.544  0.511
H  0.324  0.408  0.651
H  0.109  0.375  0.322
H  0.152  0.929  0.871
H  0.848  0.071  0.129
O  0.893  0.461  0.818
H  0.891  0.875  0.678
N  0.619  0.750  0.885
H  0.676  0.592  0.349
C  0.413  0.750  0.883
N  0.243  0.416  0.561
H  0.701  0.875  0.875
O  0.246  0.750  0.411
H  0.848  0.429  0.129
H  0.891  0.625  0.678
C  0.587  0.250  0.117